No. 1
## PH3Au (PBE)

Data for crystalline PH3Au at its relaxed geometry.

a b c (Å): 4.5058 5.6214 6.3251
angles (deg): 64.86 89.97 90.00
With the nearest neighbours (Å) after each atom.
Space group P1 (No. 1)
Inequivalent atoms, fractional coordinates:
P (0.0000, 0.0000, 0.0000) x1  3 H 1.43-1.57
P (0.4990, 0.6341, 0.5109) x1  2 H 1.44
H (0.2362, 0.8694, 0.1565) x1  1 P 1.43
H (0.2636, 0.5760, 0.6803) x1  1 P 1.44
H (0.4987, 0.9485, 0.4289) x1  1 P 1.62
H (0.7334, 0.5755, 0.6810) x1  1 P 1.44
H (0.7725, 0.8653, 0.1644) x1  1 P 1.43
H (0.9972, 0.7759, 0.9147) x1  1 P 1.57
Au (0.4982, 0.3051, 0.3636) x1  1 H 1.87
Au (0.9985, 0.4092, 0.0442) x1  1 H 1.87

Mass density in g/cm³: 5.29
E above lowest polymorph in meV/atom: 0.0


No. 2
## PHAu2 (PBE)

Data for crystalline PHAu2 at its relaxed geometry.

a b c (Å): 6.1431 6.1431 6.1431
angles (deg): 90.00 90.00 90.00
With the nearest neighbours (Å) after each atom.
Space group Fm-3m (No. 225)
Inequivalent atoms, fractional coordinates:
P (0.0000, 0.0000, 0.0000) x4  8 Au 2.66
H (0.0000, 0.0000, 0.5000) x4  8 Au 2.66
Au (0.2500, 0.2500, 0.2500) x8  4 H 2.66, 4 P 2.66

Mass density in g/cm³: 12.20
E above lowest polymorph in meV/atom: 388.4


Question: What is the mass density in the second record?
Answer: 12.20 g/cm³


Question: Which of these has the lowest mass density?
Answer: PH3Au


Question: Which formula does entry 2 have?
Answer: PHAu2